1.
This record from Alexandria describes an optimized crystal structure of AlReAs2Br. The functional is PBE.

## Properties
V	23.08	A^3/atom
space-group type	P4/mmm, No. 123
formation energy from raw total energies	1.234	eV/atom
distance to the lowest polymorph of the same formula	708.9	meV/atom

abc: 4.904 4.904 4.799
angles: 90.00 90.00 90.00
Positions (direct):
Al (0.000, 0.000, 0.000)
Re (0.500, 0.500, 0.500)
As (0.000, 0.500, 0.000)
As (0.500, 0.000, 0.000)
Br (0.000, 0.000, 0.500)

***

2.
This record from Alexandria describes an optimized crystal structure of Si2WCl. The functional is PBE.

## Properties
V	17.16	A^3/atom
space-group type	P4/mmm, No. 123
formation energy from raw total energies	0.332	eV/atom
distance to the lowest polymorph of the same formula	99.1	meV/atom

abc: 3.191 3.191 6.741
angles: 90.00 90.00 90.00
Positions (direct):
Si (0.000, 0.000, 0.192)
Si (0.000, 0.000, 0.808)
W (0.500, 0.500, 0.000)
Cl (0.500, 0.500, 0.500)

***

3.
This record from Alexandria describes an optimized crystal structure of Gd2Al6Si4Au. The functional is PBE.

## Properties
V	19.95	A^3/atom
space-group type	R-3m, No. 166
formation energy from raw total energies	-0.399	eV/atom

abc: 16.993 16.993 16.993
angles: 14.27 14.27 14.27
Positions (direct):
Gd (0.065, 0.065, 0.065)
Gd (0.935, 0.935, 0.935)
Al (0.184, 0.184, 0.184)
Al (0.315, 0.315, 0.315)
Al (0.447, 0.447, 0.447)
Al (0.553, 0.553, 0.553)
Al (0.685, 0.685, 0.685)
Al (0.816, 0.816, 0.816)
Si (0.234, 0.234, 0.234)
Si (0.364, 0.364, 0.364)
Si (0.636, 0.636, 0.636)
Si (0.766, 0.766, 0.766)
Au (0.500, 0.500, 0.500)

***

4.
This record from Alexandria describes an optimized crystal structure of BeTc2Mo. The functional is PBE.

## Properties
V	13.60	A^3/atom
space-group type	Imm2, No. 44
formation energy from the elements	0.0097	eV/atom

abc: 4.985 4.985 4.985
angles: 144.11 130.73 62.44
Positions (direct):
Be (0.000, 0.000, 0.000)
Tc (0.504, 0.504, 0.000)
Tc (0.757, 0.257, 0.500)
Mo (0.253, 0.753, 0.500)

***

5.
This record from Alexandria describes an optimized crystal structure of NaSnH. The functional is PBE.

## Properties
V	19.69	A^3/atom
space-group type	Pmmn, No. 59
distance to the lowest polymorph of the same formula	174.2	meV/atom

abc: 3.473 4.379 7.770
angles: 90.00 90.00 90.00
Positions (direct):
Na (0.250, 0.250, 0.108)
Na (0.750, 0.750, 0.892)
Sn (0.250, 0.250, 0.601)
Sn (0.750, 0.750, 0.399)
H (0.250, 0.750, 0.085)
H (0.750, 0.250, 0.915)

***

6.
This record from Alexandria describes an optimized crystal structure of Co2SbP. The functional is PBE.

## Properties
V	19.29	A^3/atom
space-group type	Pm, No. 6
formation energy from raw total energies	-0.142	eV/atom
distance to the lowest polymorph of the same formula	77.6	meV/atom

abc: 3.647 3.669 5.767
angles: 90.00 90.16 90.00
Positions (direct):
Co (0.000, 0.000, 0.000)
Co (0.500, 0.500, 0.002)
Sb (0.501, 0.000, 0.302)
P (0.999, 0.500, 0.803)

***

7.
This record from Alexandria describes an optimized crystal structure of PuBPt2. The functional is PBE.

## Properties
V	17.52	A^3/atom
space-group type	R-3m, No. 166
formation energy from the elements	-0.0139	eV/atom

abc: 8.365 8.365 8.365
angles: 21.69 21.69 21.69
Positions (direct):
Pu (0.000, 0.000, 0.000)
B (0.500, 0.500, 0.500)
Pt (0.118, 0.118, 0.118)
Pt (0.882, 0.882, 0.882)

***

8.
This record from Alexandria describes an optimized crystal structure of HoCdCuRh. The functional is PBE.

## Properties
V	18.44	A^3/atom
space-group type	F-43m, No. 216
formation energy from the elements	-0.3714	eV/atom

abc: 4.707 4.707 4.707
angles: 60.00 60.00 60.00
Positions (direct):
Ho (0.000, 0.000, 0.000)
Cd (0.500, 0.500, 0.500)
Cu (0.250, 0.250, 0.250)
Rh (0.750, 0.750, 0.750)